Material: LiBiAu4
Method: DFT, PBE
State: relaxed

Unit cell a=5.6195 b=5.6195 c=5.6195 alpha=60.00 beta=60.00 gamma=60.00
Element x y z (fractional)
Li 0.0000 0.0000 0.0000
Bi 0.2500 0.2500 0.2500
Au 0.1236 0.6255 0.6255
Au 0.6255 0.1236 0.6255
Au 0.6255 0.6255 0.1236
Au 0.6255 0.6255 0.6255

Calculated values
Space group: F-43m
N(E_F): 0.38 states/eV/atom
Polymorph energy (0 for the lowest one): 0 meV per atom